Compound: TaMn2S6
Source: Alexandria
Functional: GGA-PBE
Structure: optimized geometry

Results
Formation energy without anion corrections in kJ/mol of atoms: -69
Energy in eV/atom: -6.82

POSCAR file:
```
TaMn2S6
1.0
3.2691 0.0000 -0.7490
-0.5313 7.5410 -2.3188
0.0832 -0.7987 7.8714
Ta Mn S
1 2 6
Direct
0.5000 0.0000 0.0000 Ta
0.8340 0.6692 0.6680 Mn
0.1660 0.3308 0.3320 Mn
0.3270 0.8732 0.6540 S
0.9996 0.2279 0.9992 S
0.6711 0.5388 0.3421 S
0.0004 0.7721 0.0008 S
0.6730 0.1268 0.3460 S
0.3289 0.4612 0.6579 S
```